Entry from the Alexandria database: crystalline YTi2P at its relaxed geometry (GGA-PBE).

Results
As for the calculated total energy: -7.1958 eV per atom. As for the space group: I-42d, No. 122.

```
YTi2P
1.0
7.7112 0.0000 0.0000
0.0000 7.7112 0.0000
3.8556 3.8556 2.7522
Y P Ti
2 2 4
Cartesian
0.0000 0.0000 0.0000 Y
7.7112 3.8556 1.3761 Y
3.8556 3.8556 0.0000 P
3.8556 7.7112 1.3761 P
5.2142 1.9278 0.6880 Ti
2.4970 5.7834 0.6880 Ti
5.7834 6.3527 2.0641 Ti
9.6391 9.0698 2.0641 Ti
```

***

Entry from the Alexandria database: crystalline YTi3P at its relaxed geometry (GGA-PBE).

Results
As for the space group: Pm-3m, No. 221. For the energy above the most stable polymorph in this dataset, the calculation gives 0 meV/atom.

```
YTi3P
1.0
4.6866 0.0000 0.0000
0.0000 4.6866 0.0000
0.0000 0.0000 4.6866
Y P Ti
1 1 3
Cartesian
2.3433 2.3433 2.3433 Y
0.0000 0.0000 0.0000 P
0.0000 2.3433 0.0000 Ti
0.0000 0.0000 2.3433 Ti
2.3433 0.0000 0.0000 Ti
```

***

Entry from the Alexandria database: crystalline YTi2P2 at its relaxed geometry (GGA-PBE).

Results
As for the space group: I4/mmm, No. 139. For the energy above the most stable polymorph in this dataset, the calculation gives 222 meV/atom.

```
YTi2P2
1.0
-2.2754 2.4104 -3.2793
-2.5640 -3.7667 -0.9896
-5.3318 0.5383 0.7804
Y P Ti
1 2 2
Cartesian
0.0000 0.0000 0.0000 Y
-5.0135 1.1353 -2.3167 P
-5.1578 -1.9533 -1.1718 P
-3.3270 -0.2992 -1.2263 Ti
-6.8443 -0.5189 -2.2622 Ti
```